Dy6Tm3Th2: relaxed, PBE.

```
11
Lattice="1.774 1.024 31.564 -1.774 1.024 31.564 0.000 -2.048 31.564" Properties=species:S:1:pos:R:3 pbc="T T T"
Dy 0.000 0.000 8.603
Dy 0.000 0.000 17.283
Dy 0.000 0.000 34.416
Dy 0.000 0.000 60.276
Dy 0.000 0.000 77.409
Dy 0.000 0.000 86.089
Tm 0.000 0.000 0.000
Tm 0.000 0.000 25.868
Tm 0.000 0.000 68.825
Th 0.000 0.000 43.019
Th 0.000 0.000 51.673
```

Results
Formation energy: 0.024 eV per atom
Mass density: 9.4 g cm⁻³

---

DyTm5Th: relaxed, PBE.

```
7
Lattice="-3.228 3.257 5.217 3.228 -3.257 5.217 3.228 3.257 -5.217" Properties=species:S:1:pos:R:3 pbc="T T T"
Dy 0.000 0.000 0.000
Tm 1.745 3.257 -1.577
Tm 1.483 0.000 3.640
Tm 3.228 1.767 1.579
Tm 0.000 3.257 1.031
Tm 0.000 1.490 6.796
Th 0.000 3.257 4.080
```

Results
Formation energy: 0.296 eV per atom
Mass density: 9.4 g cm⁻³
ΔE to the lowest computed polymorph: 0.102 eV/atom

---

Dy8Tm5Th: relaxed, PBE.

```
14
Lattice="-4.746 4.746 5.021 4.746 -4.746 5.021 4.746 4.746 -5.021" Properties=species:S:1:pos:R:3 pbc="T T T"
Dy 6.379 0.885 0.008
Dy 4.094 3.097 -1.570
Dy 0.885 3.114 -0.008
Dy 0.653 1.649 3.451
Dy 1.649 -0.653 6.591
Dy 3.861 1.633 5.013
Dy 3.097 5.399 1.570
Dy -1.633 3.861 5.029
Tm 2.774 -1.086 3.279
Tm 3.660 1.973 1.742
Tm 1.973 5.833 -1.742
Tm 0.000 4.746 2.510
Tm 1.086 2.774 6.762
Th 0.000 0.000 0.000
```

Results
Formation energy: 0.293 eV per atom
Mass density: 8.7 g cm⁻³